Model 1:
This record from Alexandria via LeMat-Bulk describes a PBEsol-optimized structure of ReSb2Mo. The functional is meta-GGA SCAN.

## Properties
Its symmetry is No. 122. The value obtained for the density of states at the Fermi level is 0.8490 states/eV per atom. For the mass density, the calculation gives 10967 kg/m³.

Unit cell a=4.1828 b=4.1828 c=18.1966 alpha=90.00 beta=90.00 gamma=90.00
Fractional positions:
Re 0.0000 0.0000 0.0000
Re 0.0000 0.5000 0.2500
Re 0.5000 0.0000 0.7500
Re 0.5000 0.5000 0.5000
Sb 0.2481 0.2500 0.1250
Sb 0.2500 0.7481 0.3750
Sb 0.2500 0.7519 0.8750
Sb 0.2519 0.2500 0.6250
Sb 0.7481 0.7500 0.6250
Sb 0.7500 0.2481 0.8750
Sb 0.7500 0.2519 0.3750
Sb 0.7519 0.7500 0.1250
Mo 0.0000 0.0000 0.5000
Mo 0.0000 0.5000 0.7500
Mo 0.5000 0.0000 0.2500
Mo 0.5000 0.5000 0.0000

Model 2:
This record from Alexandria via LeMat-Bulk describes a PBEsol-optimized structure of ReSb2Mo. The functional is meta-GGA SCAN.

## Properties
Its symmetry is No. 166. The value obtained for the density of states at the Fermi level is 0.9246 states/eV per atom. For the mass density, the calculation gives 12179 kg/m³.

Unit cell a=3.1303 b=3.1303 c=25.3374 alpha=90.00 beta=90.00 gamma=120.00
Fractional positions:
Re 0.0000 0.0000 0.0000
Re 0.3333 0.6667 0.6667
Re 0.6667 0.3333 0.3333
Sb 0.0000 0.0000 0.2514
Sb 0.0000 0.0000 0.7486
Sb 0.3333 0.6667 0.4153
Sb 0.3333 0.6667 0.9181
Sb 0.6667 0.3333 0.0819
Sb 0.6667 0.3333 0.5847
Mo 0.0000 0.0000 0.5000
Mo 0.3333 0.6667 0.1667
Mo 0.6667 0.3333 0.8333

Quick one: least stable of them? model 1

Model 1:
This record from Alexandria via LeMat-Bulk describes a PBEsol-optimized structure of ScReMo2. The functional is meta-GGA SCAN.

## Properties
Its symmetry is No. 225. The value obtained for the density of states at the Fermi level is 0.8613 states/eV per atom. For the mass density, the calculation gives 11249 kg/m³.

Unit cell a=6.2978 b=6.2978 c=6.2978 alpha=90.00 beta=90.00 gamma=90.00
Fractional positions:
Sc 0.0000 0.0000 0.0000
Sc 0.0000 0.5000 0.5000
Sc 0.5000 0.0000 0.5000
Sc 0.5000 0.5000 0.0000
Re 0.0000 0.0000 0.5000
Re 0.0000 0.5000 0.0000
Re 0.5000 0.0000 0.0000
Re 0.5000 0.5000 0.5000
Mo 0.2500 0.2500 0.2500
Mo 0.2500 0.2500 0.7500
Mo 0.2500 0.7500 0.2500
Mo 0.2500 0.7500 0.7500
Mo 0.7500 0.2500 0.2500
Mo 0.7500 0.2500 0.7500
Mo 0.7500 0.7500 0.2500
Mo 0.7500 0.7500 0.7500

Model 2:
This record from Alexandria via LeMat-Bulk describes a PBEsol-optimized structure of ScReMo2. The functional is meta-GGA SCAN.

## Properties
Its symmetry is No. 47. The value obtained for the density of states at the Fermi level is 0.7446 states/eV per atom. For the mass density, the calculation gives 10939 kg/m³.

Unit cell a=2.6849 b=4.5670 c=5.2370 alpha=90.00 beta=90.00 gamma=90.00
Fractional positions:
Sc 0.0000 0.0000 0.0000
Re 0.0000 0.0000 0.5000
Mo 0.5000 0.5000 0.2514
Mo 0.5000 0.5000 0.7486

Quick one: least stable of them? model 2

Model 1:
This record from Alexandria via LeMat-Bulk describes a PBEsol-optimized structure of SrRe2Mo. The functional is meta-GGA SCAN.

## Properties
Its symmetry is No. 160. The value obtained for the density of states at the Fermi level is 0.7850 states/eV per atom. For the mass density, the calculation gives 13211 kg/m³.

Unit cell a=2.8328 b=2.8328 c=30.1657 alpha=90.00 beta=90.00 gamma=120.00
Fractional positions:
Sr 0.0000 0.0000 0.0000
Sr 0.3333 0.6667 0.6667
Sr 0.6667 0.3333 0.3333
Re 0.0000 0.0000 0.2402
Re 0.0000 0.0000 0.5038
Re 0.3333 0.6667 0.1705
Re 0.3333 0.6667 0.9069
Re 0.6667 0.3333 0.5736
Re 0.6667 0.3333 0.8372
Mo 0.0000 0.0000 0.7634
Mo 0.3333 0.6667 0.4301
Mo 0.6667 0.3333 0.0967

Model 2:
This record from Alexandria via LeMat-Bulk describes a PBEsol-optimized structure of SrRe2Mo. The functional is meta-GGA SCAN.

## Properties
Its symmetry is No. 65. The value obtained for the density of states at the Fermi level is 0.9322 states/eV per atom. For the mass density, the calculation gives 13250 kg/m³.

Unit cell a=5.4464 b=9.7435 c=2.6260 alpha=90.00 beta=90.00 gamma=90.00
Fractional positions:
Sr 0.0000 0.0000 0.0000
Sr 0.5000 0.5000 0.0000
Re 0.2500 0.2500 0.5000
Re 0.2500 0.7500 0.5000
Re 0.7500 0.2500 0.5000
Re 0.7500 0.7500 0.5000
Mo 0.0000 0.5000 0.0000
Mo 0.5000 0.0000 0.0000

Quick one: least stable of them? model 2

Model 1:
This record from Alexandria via LeMat-Bulk describes a PBEsol-optimized structure of Sr2ReMo. The functional is meta-GGA SCAN.

## Properties
Its symmetry is No. 10. The value obtained for the density of states at the Fermi level is 0.5502 states/eV per atom. For the mass density, the calculation gives 9055 kg/m³.

Unit cell a=2.8040 b=5.3167 c=5.6261 alpha=90.00 beta=90.13 gamma=90.00
Fractional positions:
Sr 0.0011 0.0000 0.2515
Sr 0.9989 0.0000 0.7485
Re 0.5000 0.5000 0.5000
Mo 0.5000 0.5000 0.0000

Model 2:
This record from Alexandria via LeMat-Bulk describes a PBEsol-optimized structure of Sr2ReMo. The functional is meta-GGA SCAN.

## Properties
Its symmetry is No. 71. The value obtained for the density of states at the Fermi level is 1.0395 states/eV per atom. For the mass density, the calculation gives 6502 kg/m³.

Unit cell a=3.3730 b=3.8273 c=18.0967 alpha=90.00 beta=90.00 gamma=90.00
Fractional positions:
Sr 0.0000 0.0000 0.1485
Sr 0.0000 0.0000 0.8515
Sr 0.5000 0.5000 0.3515
Sr 0.5000 0.5000 0.6485
Re 0.0000 0.5000 0.5000
Re 0.5000 0.0000 0.0000
Mo 0.0000 0.5000 0.0000
Mo 0.5000 0.0000 0.5000

Quick one: least stable of them? model 1

Model 1:
This record from Alexandria via LeMat-Bulk describes a PBEsol-optimized structure of TaReMo2. The functional is meta-GGA SCAN.

## Properties
Its symmetry is No. 216. The value obtained for the density of states at the Fermi level is 0.3887 states/eV per atom. For the mass density, the calculation gives 14900 kg/m³.

Unit cell a=6.2929 b=6.2929 c=6.2929 alpha=90.00 beta=90.00 gamma=90.00
Fractional positions:
Ta 0.0000 0.0000 0.0000
Ta 0.0000 0.5000 0.5000
Ta 0.5000 0.0000 0.5000
Ta 0.5000 0.5000 0.0000
Re 0.2500 0.2500 0.2500
Re 0.2500 0.7500 0.7500
Re 0.7500 0.2500 0.7500
Re 0.7500 0.7500 0.2500
Mo 0.0000 0.0000 0.5000
Mo 0.0000 0.5000 0.0000
Mo 0.2500 0.2500 0.7500
Mo 0.2500 0.7500 0.2500
Mo 0.5000 0.0000 0.0000
Mo 0.5000 0.5000 0.5000
Mo 0.7500 0.2500 0.2500
Mo 0.7500 0.7500 0.7500

Model 2:
This record from Alexandria via LeMat-Bulk describes a PBEsol-optimized structure of TaReMo2. The functional is meta-GGA SCAN.

## Properties
Its symmetry is No. 99. The value obtained for the density of states at the Fermi level is 0.4753 states/eV per atom. For the mass density, the calculation gives 14871 kg/m³.

Unit cell a=3.1438 b=3.1438 c=6.3157 alpha=90.00 beta=90.00 gamma=90.00
Fractional positions:
Ta 0.0000 0.0000 0.0000
Re 0.5000 0.5000 0.7470
Mo 0.0000 0.0000 0.4981
Mo 0.5000 0.5000 0.2569

Model 3:
This record from Alexandria via LeMat-Bulk describes a PBEsol-optimized structure of TaReMo2. The functional is meta-GGA SCAN.

## Properties
Its symmetry is No. 123. The value obtained for the density of states at the Fermi level is 0.5053 states/eV per atom. For the mass density, the calculation gives 14904 kg/m³.

Unit cell a=4.4516 b=4.4516 c=3.1430 alpha=90.00 beta=90.00 gamma=90.00
Fractional positions:
Ta 0.0000 0.0000 0.0000
Re 0.5000 0.5000 0.0000
Mo 0.0000 0.5000 0.5000
Mo 0.5000 0.0000 0.5000

Model 4:
This record from Alexandria via LeMat-Bulk describes a PBEsol-optimized structure of TaReMo2. The functional is meta-GGA SCAN.

## Properties
Its symmetry is No. 44. The value obtained for the density of states at the Fermi level is 0.5036 states/eV per atom. For the mass density, the calculation gives 14885 kg/m³.

Unit cell a=3.1451 b=4.4515 c=8.9089 alpha=90.00 beta=90.00 gamma=90.00
Fractional positions:
Ta 0.0000 0.0000 0.0000
Ta 0.5000 0.5000 0.5000
Re 0.0000 0.5000 0.2480
Re 0.5000 0.0000 0.7480
Mo 0.0000 0.0000 0.4995
Mo 0.0000 0.5000 0.7526
Mo 0.5000 0.0000 0.2526
Mo 0.5000 0.5000 0.9995

Quick one: least stable of them? model 3

Model 1:
This record from Alexandria via LeMat-Bulk describes a PBEsol-optimized structure of TaReMo2. The functional is meta-GGA SCAN.

## Properties
Its symmetry is No. 47. The value obtained for the density of states at the Fermi level is 0.4625 states/eV per atom. For the mass density, the calculation gives 14878 kg/m³.

Unit cell a=3.1458 b=4.4436 c=4.4636 alpha=90.00 beta=90.00 gamma=90.00
Fractional positions:
Ta 0.0000 0.0000 0.0000
Re 0.5000 0.5000 0.0000
Mo 0.0000 0.5000 0.5000
Mo 0.5000 0.0000 0.5000

Model 2:
This record from Alexandria via LeMat-Bulk describes a PBEsol-optimized structure of TaReMo2. The functional is meta-GGA SCAN.

## Properties
Its symmetry is No. 71. The value obtained for the density of states at the Fermi level is 0.4749 states/eV per atom. For the mass density, the calculation gives 14862 kg/m³.

Unit cell a=3.1468 b=4.4326 c=8.9560 alpha=90.00 beta=90.00 gamma=90.00
Fractional positions:
Ta 0.0000 0.0000 0.0000
Ta 0.5000 0.5000 0.5000
Re 0.0000 0.0000 0.5000
Re 0.5000 0.5000 0.0000
Mo 0.0000 0.5000 0.2485
Mo 0.0000 0.5000 0.7515
Mo 0.5000 0.0000 0.2515
Mo 0.5000 0.0000 0.7485

Quick one: least stable of them? model 2

Model 1:
This record from Alexandria via LeMat-Bulk describes a PBEsol-optimized structure of ReTc2Mo. The functional is meta-GGA SCAN.

## Properties
Its symmetry is No. 99. The value obtained for the density of states at the Fermi level is 0.8014 states/eV per atom. For the mass density, the calculation gives 13648 kg/m³.

Unit cell a=2.7285 b=2.7285 c=7.8147 alpha=90.00 beta=90.00 gamma=90.00
Fractional positions:
Re 0.0000 0.0000 0.0000
Tc 0.0000 0.0000 0.4800
Tc 0.5000 0.5000 0.2417
Mo 0.5000 0.5000 0.7386

Model 2:
This record from Alexandria via LeMat-Bulk describes a PBEsol-optimized structure of ReTc2Mo. The functional is meta-GGA SCAN.

## Properties
Its symmetry is No. 123. The value obtained for the density of states at the Fermi level is 0.8588 states/eV per atom. For the mass density, the calculation gives 13650 kg/m³.

Unit cell a=3.0739 b=3.0739 c=6.1559 alpha=90.00 beta=90.00 gamma=90.00
Fractional positions:
Re 0.0000 0.0000 0.0000
Tc 0.5000 0.5000 0.2558
Tc 0.5000 0.5000 0.7442
Mo 0.0000 0.0000 0.5000

Quick one: least stable of them? model 2